Entry 1:
Density functional theory data (GGA-PBEsol) for a relaxed Rb3Ag crystal.

M_tot, μB per atom: 0.0000

Lattice parameters (Å, degrees): 5.8942 5.8942 5.8942 90.00 90.00 90.00
Atoms (fractional coordinates):
Rb 0.0000 0.5000 0.5000
Rb 0.5000 0.0000 0.5000
Rb 0.5000 0.5000 0.0000
Ag 0.0000 0.0000 0.0000

Entry 2:
Density functional theory data (GGA-PBEsol) for a relaxed Rb3ReAg crystal.

M_tot, μB per atom: 0.6041

Lattice parameters (Å, degrees): 6.3401 6.3401 6.3401 90.00 90.00 90.00
Site moments in Bohr magnetons follow the coordinates.
Atoms (fractional coordinates):
Re 0.0000 0.0000 0.0000  2.44
Rb 0.0000 0.5000 0.0000  0.02
Rb 0.0000 0.0000 0.5000  0.02
Rb 0.5000 0.0000 0.0000  0.02
Ag 0.5000 0.5000 0.5000  0.00

Number 1: energy of formation from the pure elements 0.2030 eV per atom, DFT total energy -1.3937 eV/atom. Number 2: energy of formation from the pure elements 1.6255 eV per atom, DFT total energy -2.3183 eV/atom.